1.
Below is a relaxed Mn2Si2P crystal, with properties calculated at the PBE-GGA level.

symmetry = P4/mbm, No. 127

Unit cell a=6.117 b=6.117 c=3.313 alpha=90.00 beta=90.00 gamma=90.00
Sites, in units of the cell vectors:
Mn 0.162 0.338 0.000
Mn 0.338 0.838 0.000
Mn 0.662 0.162 0.000
Mn 0.838 0.662 0.000
Si 0.140 0.640 0.500
Si 0.360 0.140 0.500
Si 0.640 0.860 0.500
Si 0.860 0.360 0.500
P 0.000 0.000 0.000
P 0.500 0.500 0.000

2.
Below is a relaxed MnSi2P crystal, with properties calculated at the PBE-GGA level.

symmetry = P4/mmm, No. 123

Unit cell a=4.189 b=4.189 c=3.110 alpha=90.00 beta=90.00 gamma=90.00
Sites, in units of the cell vectors:
Mn 0.000 0.000 0.000
Si 0.000 0.500 0.500
Si 0.500 0.000 0.500
P 0.500 0.500 0.000

Number 1: formation energy (no corrections) -0.070 eV/atom, magnetization 3.30 Bohr magnetons per cell, energy -69.89 eV for the cell shown. Number 2: formation energy (no corrections) 0.350 eV/atom, magnetization 2.72 Bohr magnetons per cell, energy -24.03 eV for the cell shown.